# LiMg6Cd

A relaxed LiMg6Cd crystal (PBE, Alexandria via LeMat-Bulk).

a b c (Å): 5.185 6.248 6.248
angles (deg): 60.09 90.00 90.00
Positions (direct):
Li 0.000 0.000 0.000
Mg 0.000 0.000 0.498
Mg 0.000 0.498 0.000
Mg 0.500 0.165 0.165
Mg 0.500 0.167 0.668
Mg 0.500 0.666 0.666
Mg 0.500 0.668 0.167
Cd 0.000 0.499 0.499

Results
Uncorrected energy (eV per atom): -1.62
ΔH_f (0 K) (eV per atom): -0.067
SG: No. 38
Energy above the lowest structure with this stoichiometry (eV/f.u.): 0.00